# AgSn2OsRu

AgSn2OsRu after structural relaxation (PBEsol, Alexandria).

```
AgSn2OsRu
1.0
4.877 0.000 0.000
0.000 4.877 0.000
0.000 0.000 4.940
Ag Sn Os Ru
1 2 1 1
Cartesian
0.000 0.000 0.000
0.000 2.439 2.470
2.439 0.000 2.470
2.439 2.439 0.000
0.000 0.000 2.470
```

Summary:
The energy relative to the elements is 1.562 eV per atom. As for the density: 9.00 Mg/m³.

# AgTeOsS2

AgTeOsS2 after structural relaxation (PBEsol, Alexandria).

```
AgTeOsS2
1.0
4.387 0.000 0.000
0.000 4.387 0.000
0.000 0.000 5.861
Ag Te Os S
1 1 1 2
Cartesian
0.000 0.000 0.000
2.193 2.193 0.000
2.193 2.193 2.930
0.000 2.193 2.930
2.193 0.000 2.930
```

Summary:
For the raw formation energy, the calculation gives 0.4207 eV/atom. As for the density: 7.21 Mg/m³.

# TlAgOsS2

TlAgOsS2 after structural relaxation (PBEsol, Alexandria).

```
TlAgOsS2
1.0
4.985 0.000 0.000
0.000 4.985 0.000
0.000 0.000 5.150
Tl Ag Os S
1 1 1 2
Cartesian
0.000 0.000 0.000
2.492 2.492 2.575
0.000 0.000 2.575
0.000 2.492 0.000
2.492 0.000 0.000
```

Summary:
For the raw formation energy, the calculation gives 1.9217 eV/atom. As for the density: 7.35 Mg/m³.

# Ag2SbOs

Ag2SbOs after structural relaxation (PBEsol, Alexandria).

```
Ag2SbOs
1.0
4.775 -1.583 0.000
4.775 1.583 0.000
-1.919 0.000 4.602
Ag Sb Os
2 1 1
Cartesian
0.000 0.000 0.000
0.668 0.000 4.101
3.584 0.000 2.187
6.287 0.000 1.891
```

Summary:
For the raw formation energy, the calculation gives 0.4542 eV/atom. As for the density: 12.59 Mg/m³.

# AgSb4Os

AgSb4Os after structural relaxation (PBEsol, Alexandria).

```
AgSb4Os
1.0
0.000 4.177 4.177
4.177 0.000 4.177
4.177 4.177 0.000
Ag Sb Os
1 4 1
Cartesian
0.000 0.000 0.000
5.221 3.133 3.133
3.133 5.221 3.133
3.133 3.133 5.221
5.221 5.221 5.221
2.089 2.089 2.089
```

Summary:
For the raw formation energy, the calculation gives 1.2568 eV/atom. As for the density: 8.94 Mg/m³.

# Ag2SbOs

Ag2SbOs after structural relaxation (PBEsol, Alexandria).

```
Ag2SbOs
1.0
-1.570 2.203 4.957
1.570 -2.203 4.957
1.570 2.203 -4.957
Ag Sb Os
2 1 1
Cartesian
0.000 0.000 2.437
0.000 0.000 7.476
0.000 2.203 0.000
1.570 0.000 0.000
```

Summary:
For the raw formation energy, the calculation gives 0.4972 eV/atom. As for the density: 12.78 Mg/m³.

# Sc2AgOs

Sc2AgOs after structural relaxation (PBEsol, Alexandria).

```
Sc2AgOs
1.0
0.000 3.256 3.256
3.256 0.000 3.256
3.256 3.256 0.000
Sc Ag Os
2 1 1
Cartesian
1.628 1.628 1.628
4.884 4.884 4.884
0.000 0.000 0.000
3.256 3.256 3.256
```

Summary:
The energy relative to the elements is -0.382 eV per atom. As for the density: 9.33 Mg/m³.

# Sc2AgOs

Sc2AgOs after structural relaxation (PBEsol, Alexandria).

```
Sc2AgOs
1.0
3.204 0.000 0.000
0.000 3.204 0.000
0.000 0.000 6.903
Sc Ag Os
2 1 1
Cartesian
0.000 0.000 1.538
0.000 0.000 5.364
1.602 1.602 3.451
1.602 1.602 0.000
```

Summary:
The energy relative to the elements is -0.445 eV per atom. As for the density: 9.10 Mg/m³.

# ScAg2Os

ScAg2Os after structural relaxation (PBEsol, Alexandria).

```
ScAg2Os
1.0
1.398 0.807 9.664
-1.398 0.807 9.664
0.000 -1.614 9.664
Sc Ag Os
1 2 1
Cartesian
0.000 0.000 0.000
0.000 0.000 7.169
0.000 0.000 21.822
0.000 0.000 14.495
```

Summary:
The energy relative to the elements is 0.425 eV per atom. As for the density: 11.45 Mg/m³.

# ScAgOs

ScAgOs after structural relaxation (PBEsol, Alexandria).

```
ScAgOs
1.0
-1.435 1.435 6.099
1.435 -1.435 6.099
1.435 1.435 -6.099
Sc Ag Os
1 1 1
Cartesian
0.000 0.000 0.000
0.000 0.000 8.352
0.000 0.000 4.262
```

Summary:
The energy relative to the elements is 0.174 eV per atom. As for the density: 11.34 Mg/m³.

# ScAg2Os

ScAg2Os after structural relaxation (PBEsol, Alexandria).

```
ScAg2Os
1.0
2.654 -4.835 0.000
2.654 4.835 0.000
-1.078 0.000 2.562
Sc Ag Os
1 2 1
Cartesian
0.000 0.000 0.000
0.788 2.417 1.281
0.788 -2.417 1.281
2.654 0.000 0.000
```

Summary:
The energy relative to the elements is 0.200 eV per atom. As for the density: 11.39 Mg/m³.

# ScAg3Os

ScAg3Os after structural relaxation (PBEsol, Alexandria).

```
ScAg3Os
1.0
4.712 0.000 0.000
0.000 4.712 0.000
0.000 0.000 4.712
Sc Ag Os
1 3 1
Cartesian
0.000 0.000 0.000
0.000 0.000 2.356
0.000 2.356 0.000
2.356 0.000 0.000
2.356 2.356 2.356
```

Summary:
The energy relative to the elements is 1.972 eV per atom. As for the density: 8.87 Mg/m³.

# AgOs3Se

AgOs3Se after structural relaxation (PBEsol, Alexandria).

```
AgOs3Se
1.0
4.693 0.000 0.000
0.000 4.693 0.000
0.000 0.000 4.693
Ag Os Se
1 3 1
Cartesian
0.000 0.000 0.000
0.000 0.000 2.346
0.000 2.346 0.000
2.346 0.000 0.000
2.346 2.346 2.346
```

Summary:
For the raw formation energy, the calculation gives 3.3151 eV/atom. As for the density: 12.17 Mg/m³.

# AgOsSe2

AgOsSe2 after structural relaxation (PBEsol, Alexandria).

```
AgOsSe2
1.0
1.476 0.852 9.555
-1.476 0.852 9.555
0.000 -1.705 9.555
Ag Os Se
1 1 2
Cartesian
0.000 0.000 0.000
0.000 0.000 7.263
0.000 0.000 15.077
0.000 0.000 21.449
```

Summary:
For the raw formation energy, the calculation gives 0.3127 eV/atom. As for the density: 10.50 Mg/m³.

# AgOs2Se

AgOs2Se after structural relaxation (PBEsol, Alexandria).

```
AgOs2Se
1.0
2.794 0.000 0.000
0.000 4.666 0.000
0.000 0.000 4.763
Ag Os Se
1 2 1
Cartesian
0.000 0.000 0.000
0.000 2.333 2.382
1.397 0.000 2.382
1.397 2.333 0.000
```

Summary:
For the raw formation energy, the calculation gives 0.9679 eV/atom. As for the density: 15.17 Mg/m³.

# AgOs2Se

AgOs2Se after structural relaxation (PBEsol, Alexandria).

```
AgOs2Se
1.0
1.400 -2.340 0.000
1.400 2.340 0.000
0.000 0.000 9.386
Ag Os Se
1 2 1
Cartesian
0.000 0.000 0.000
1.400 0.000 2.417
1.400 0.000 6.970
0.000 0.000 4.693
```

Summary:
For the raw formation energy, the calculation gives 0.9274 eV/atom. As for the density: 15.32 Mg/m³.

# AgOs2Se

AgOs2Se after structural relaxation (PBEsol, Alexandria).

```
AgOs2Se
1.0
-1.443 2.227 4.785
1.443 -2.227 4.785
1.443 2.227 -4.785
Ag Os Se
1 2 1
Cartesian
0.000 0.000 0.000
1.443 0.000 2.696
0.000 2.227 2.089
0.000 0.000 4.785
```

Summary:
For the raw formation energy, the calculation gives 0.7326 eV/atom. As for the density: 15.32 Mg/m³.

# AgOs2Se

AgOs2Se after structural relaxation (PBEsol, Alexandria).

```
AgOs2Se
1.0
2.832 0.000 0.000
0.000 1.398 8.291
0.000 -1.398 8.291
Ag Os Se
1 2 1
Cartesian
0.000 0.000 0.000
0.000 0.000 3.714
1.416 0.000 10.385
1.416 0.000 5.878
```

Summary:
For the raw formation energy, the calculation gives 0.3818 eV/atom. As for the density: 14.35 Mg/m³.

# AgOsSe2

AgOsSe2 after structural relaxation (PBEsol, Alexandria).

```
AgOsSe2
1.0
2.879 0.000 0.000
0.000 3.124 0.000
-0.011 0.000 8.009
Ag Os Se
1 1 2
Cartesian
0.000 0.000 0.000
1.434 0.000 4.005
1.434 1.562 2.118
1.433 1.562 5.892
```

Summary:
For the raw formation energy, the calculation gives 0.3887 eV/atom. As for the density: 10.51 Mg/m³.

# AgOs2Se

AgOs2Se after structural relaxation (PBEsol, Alexandria).

```
AgOs2Se
1.0
4.402 0.000 0.000
0.000 4.402 0.000
0.000 0.000 3.077
Ag Os Se
1 2 1
Cartesian
0.000 0.000 0.000
0.000 2.201 1.539
2.201 0.000 1.539
2.201 2.201 0.000
```

Summary:
For the raw formation energy, the calculation gives 1.0185 eV/atom. As for the density: 15.80 Mg/m³.

Record-wise energy values, in eV/atom: -5.28; -5.14; -3.46; -5.39; -4.37; -5.35; -7.57; -7.63; -5.94; -7.20; -6.16; -3.78; -5.45; -5.49; -6.93; -6.97; -7.17; -7.52; -5.42; -6.88